Entry one
Entry from OQMD: PmBiNO after structural relaxation (PBE-GGA).

The structure in POSCAR format:
```
PmBiNO
1.0
5.937 0.000 0.000
0.000 8.604 0.000
0.000 0.000 5.880
Pm Bi N O
4 4 4 4
direct
0.007 0.124 0.000
0.493 0.124 0.500
0.507 0.876 0.000
0.993 0.876 0.500
0.012 0.623 0.005
0.488 0.623 0.505
0.512 0.377 0.005
0.988 0.377 0.505
0.097 0.614 0.588
0.403 0.614 0.088
0.597 0.386 0.588
0.903 0.386 0.088
0.248 0.993 0.251
0.252 0.993 0.751
0.748 0.007 0.251
0.752 0.007 0.751
```

## Properties
Crystal system   orthorhombic

---

Entry two
Entry from OQMD: PmBiNO after structural relaxation (PBE-GGA).

The structure in POSCAR format:
```
PmBiNO
1.0
3.920 0.000 0.000
0.000 6.630 0.000
0.000 0.000 6.537
Pm Bi N O
2 2 2 2
direct
0.000 0.195 0.000
0.000 0.805 0.500
0.500 0.324 0.566
0.500 0.676 0.066
0.500 0.378 0.916
0.500 0.622 0.416
0.000 0.074 0.309
0.000 0.926 0.809
```

## Properties
Crystal system   orthorhombic

---

Entry three
Entry from OQMD: PmBiNO after structural relaxation (PBE-GGA).

The structure in POSCAR format:
```
PmBiNO
1.0
5.133 0.000 0.000
0.000 5.133 0.000
0.000 0.000 5.115
Pm Bi N O
2 2 2 2
direct
0.250 0.750 0.000
0.750 0.250 0.000
0.250 0.250 0.491
0.750 0.750 0.509
0.250 0.250 0.050
0.750 0.750 0.950
0.250 0.750 0.500
0.750 0.250 0.500
```

## Properties
Crystal system   tetragonal

---

The most stable of them is entry one.

---

Entry one
Entry from OQMD: TaBiNO after structural relaxation (PBE-GGA).

The structure in POSCAR format:
```
TaBiNO
1.0
6.459 0.000 0.000
0.000 7.642 0.000
0.000 0.000 5.149
Ta Bi N O
4 4 4 4
direct
0.131 0.152 0.000
0.369 0.152 0.500
0.631 0.848 0.000
0.869 0.848 0.500
0.048 0.667 0.992
0.452 0.667 0.492
0.548 0.333 0.992
0.952 0.333 0.492
0.010 0.378 0.007
0.490 0.378 0.507
0.510 0.622 0.007
0.990 0.622 0.507
0.114 0.984 0.668
0.386 0.984 0.168
0.614 0.016 0.668
0.886 0.016 0.168
```

## Properties
Crystal system   orthorhombic

---

Entry two
Entry from OQMD: TaBiNO after structural relaxation (PBE-GGA).

The structure in POSCAR format:
```
TaBiNO
1.0
3.566 0.000 0.000
0.000 6.974 0.000
0.000 0.000 6.114
Ta Bi N O
2 2 2 2
direct
0.000 0.153 0.000
0.000 0.847 0.500
0.500 0.450 0.527
0.500 0.550 0.027
0.500 0.226 0.891
0.500 0.774 0.391
0.000 0.065 0.296
0.000 0.935 0.796
```

## Properties
Crystal system   orthorhombic

---

Entry three
Entry from OQMD: TaBiNO after structural relaxation (PBE-GGA).

The structure in POSCAR format:
```
TaBiNO
1.0
4.149 0.000 0.000
0.000 4.149 0.000
0.000 0.000 8.172
Ta Bi N O
2 2 2 2
direct
0.250 0.750 0.000
0.750 0.250 0.000
0.250 0.250 0.354
0.750 0.750 0.646
0.250 0.250 0.991
0.750 0.750 0.009
0.250 0.750 0.500
0.750 0.250 0.500
```

## Properties
Crystal system   tetragonal

---

The most stable of them is entry two.

---

Entry one
Entry from OQMD: TaBiNO after structural relaxation (PBE-GGA).

The structure in POSCAR format:
```
TaBiNO
1.0
6.119 0.000 0.000
0.000 8.558 0.000
0.000 0.000 5.868
Ta Bi N O
4 4 4 4
direct
0.099 0.076 0.000
0.401 0.076 0.500
0.599 0.924 0.000
0.901 0.924 0.500
0.038 0.555 0.042
0.462 0.555 0.542
0.538 0.445 0.042
0.962 0.445 0.542
0.109 0.071 0.658
0.391 0.071 0.158
0.609 0.929 0.658
0.891 0.929 0.158
0.010 0.733 0.566
0.490 0.733 0.066
0.510 0.267 0.566
0.990 0.267 0.066
```

## Properties
Crystal system   orthorhombic

---

Entry two
Entry from OQMD: TaBiNO after structural relaxation (PBE-GGA).

The structure in POSCAR format:
```
TaBiNO
1.0
4.139 0.000 0.000
0.000 4.139 0.000
0.000 0.000 8.278
Ta Bi N O
2 2 2 2
direct
0.250 0.750 0.000
0.750 0.250 0.000
0.250 0.250 0.353
0.750 0.750 0.647
0.250 0.250 0.990
0.750 0.750 0.010
0.250 0.750 0.500
0.750 0.250 0.500
```

## Properties
Crystal system   tetragonal

---

Entry three
Entry from OQMD: TaBiNO after structural relaxation (PBE-GGA).

The structure in POSCAR format:
```
TaBiNO
1.0
4.282 0.000 0.000
0.000 4.282 0.000
0.000 0.000 7.798
Ta Bi N O
2 2 2 2
direct
0.250 0.250 0.034
0.750 0.750 0.966
0.250 0.750 0.500
0.750 0.250 0.500
0.250 0.250 0.262
0.750 0.750 0.738
0.250 0.750 0.000
0.750 0.250 0.000
```

## Properties
Crystal system   tetragonal

---

Entry four
Entry from OQMD: TaBiNO after structural relaxation (PBE-GGA).

The structure in POSCAR format:
```
TaBiNO
1.0
3.297 0.000 0.000
0.000 6.776 0.000
0.000 0.000 6.756
Ta Bi N O
2 2 2 2
direct
0.000 0.098 0.000
0.000 0.902 0.500
0.500 0.287 0.518
0.500 0.713 0.018
0.000 0.115 0.291
0.000 0.885 0.791
0.500 0.238 0.939
0.500 0.762 0.439
```

## Properties
Crystal system   orthorhombic

---

The most stable of them is entry one.

---

Entry one
Entry from OQMD: ZnBiNO after structural relaxation (PBE-GGA).

The structure in POSCAR format:
```
ZnBiNO
1.0
5.925 0.000 0.000
0.000 7.156 0.000
0.000 0.000 5.657
Zn Bi N O
4 4 4 4
direct
0.065 0.111 0.000
0.435 0.111 0.500
0.565 0.889 0.000
0.935 0.889 0.500
0.057 0.665 0.958
0.443 0.665 0.458
0.557 0.335 0.958
0.943 0.335 0.458
0.073 0.624 0.553
0.427 0.624 0.053
0.573 0.376 0.553
0.927 0.376 0.053
0.155 0.045 0.679
0.345 0.045 0.179
0.655 0.955 0.679
0.845 0.955 0.179
```

## Properties
Crystal system   orthorhombic

---

Entry two
Entry from OQMD: ZnBiNO after structural relaxation (PBE-GGA).

The structure in POSCAR format:
```
ZnBiNO
1.0
3.663 0.000 0.000
0.000 5.632 0.000
0.000 0.000 5.920
Zn Bi N O
2 2 2 2
direct
0.000 0.219 0.000
0.000 0.781 0.500
0.500 0.269 0.473
0.500 0.731 0.973
0.500 0.359 0.077
0.500 0.641 0.577
0.000 0.116 0.672
0.000 0.884 0.172
```

## Properties
Crystal system   orthorhombic

---

The most stable of them is entry one.

---

Entry one
Entry from OQMD: ZnBiNO after structural relaxation (PBE-GGA).

The structure in POSCAR format:
```
ZnBiNO
1.0
5.793 0.000 0.000
0.000 8.447 0.000
0.000 0.000 5.380
Zn Bi N O
4 4 4 4
direct
0.088 0.077 0.000
0.412 0.077 0.500
0.588 0.923 0.000
0.912 0.923 0.500
0.039 0.674 0.029
0.461 0.674 0.529
0.539 0.326 0.029
0.961 0.326 0.529
0.091 0.106 0.629
0.409 0.106 0.129
0.591 0.894 0.629
0.909 0.894 0.129
0.104 0.719 0.634
0.396 0.719 0.134
0.604 0.281 0.634
0.896 0.281 0.134
```

## Properties
Crystal system   orthorhombic

---

Entry two
Entry from OQMD: ZnBiNO after structural relaxation (PBE-GGA).

The structure in POSCAR format:
```
ZnBiNO
1.0
3.728 0.000 0.000
0.000 3.728 0.000
0.000 0.000 7.993
Zn Bi N O
2 2 2 2
direct
0.250 0.750 0.000
0.750 0.250 0.000
0.250 0.250 0.333
0.750 0.750 0.667
0.250 0.250 0.867
0.750 0.750 0.133
0.250 0.750 0.500
0.750 0.250 0.500
```

## Properties
Crystal system   tetragonal

---

The most stable of them is entry one.

---

Entry one
Entry from OQMD: ZnBiNO after structural relaxation (PBE-GGA).

The structure in POSCAR format:
```
ZnBiNO
1.0
3.418 0.000 0.000
0.000 6.766 0.000
0.000 0.000 5.512
Zn Bi N O
2 2 2 2
direct
0.000 0.120 0.000
0.000 0.880 0.500
0.500 0.331 0.492
0.500 0.669 0.992
0.000 0.154 0.362
0.000 0.846 0.862
0.500 0.234 0.862
0.500 0.766 0.362
```

## Properties
Crystal system   orthorhombic

---

Entry two
Entry from OQMD: ZnBiNO after structural relaxation (PBE-GGA).

The structure in POSCAR format:
```
ZnBiNO
1.0
4.817 0.000 0.000
0.000 4.817 0.000
0.000 0.000 4.824
Zn Bi N O
2 2 2 2
direct
0.250 0.250 0.027
0.750 0.750 0.973
0.250 0.750 0.500
0.750 0.250 0.500
0.250 0.250 0.456
0.750 0.750 0.544
0.250 0.750 0.000
0.750 0.250 0.000
```

## Properties
Crystal system   tetragonal

---

The most stable of them is entry one.